1.
Computed, not measured: an optimized crystal structure of CaNiCl2 at the PBEsol level of DFT.

a = 4.596 Å, b = 4.596 Å, c = 4.596 Å
α = 60.00°, β = 60.00°, γ = 60.00°
Site moments in Bohr magnetons follow the coordinates.
Atoms (fractional coordinates):
Ni: 0.500 0.500 0.500  0.13
Ca: 0.000 0.000 0.000  -0.01
Cl: 0.750 0.750 0.750  0.00
Cl: 0.250 0.250 0.250  0.00

Formation energy without anion corrections in eV per atom: -0.826
E above lowest polymorph in meV per atom: 151
DOS(E_F) in states/eV/cell: 4.4

=====

2.
Computed, not measured: an optimized crystal structure of Sr2TlAu at the PBEsol level of DFT.

a = 5.481 Å, b = 5.481 Å, c = 5.481 Å
α = 60.00°, β = 60.00°, γ = 60.00°
Atoms (fractional coordinates):
Sr: 0.250 0.250 0.250
Sr: 0.750 0.750 0.750
Tl: 0.500 0.500 0.500
Au: 0.000 0.000 0.000

E above lowest polymorph in meV per atom: 13
DOS(E_F) in states/eV/cell: 2.7

=====

3.
Computed, not measured: an optimized crystal structure of BeRu at the PBEsol level of DFT.

a = 2.739 Å, b = 2.739 Å, c = 6.836 Å
α = 90.00°, β = 90.00°, γ = 120.00°
Atoms (fractional coordinates):
Ru: 0.333 0.667 0.651
Ru: 0.667 0.333 0.349
Be: 0.333 0.667 0.107
Be: 0.667 0.333 0.893

DOS(E_F) in states/eV/cell: 2.2

=====

4.
Computed, not measured: an optimized crystal structure of PPdNO2 at the PBEsol level of DFT.

a = 3.829 Å, b = 3.845 Å, c = 3.845 Å
α = 90.00°, β = 90.00°, γ = 90.00°
Atoms (fractional coordinates):
P: 0.500 0.500 0.500
O: 0.000 0.000 0.500
O: 0.000 0.500 0.000
Pd: 0.000 0.000 0.000
N: 0.500 0.000 0.000

Formation energy without anion corrections in eV per atom: 0.901
DOS(E_F) in states/eV/cell: 2.6

=====

5.
Computed, not measured: an optimized crystal structure of LaZr2Cl at the PBEsol level of DFT.

a = 4.988 Å, b = 4.988 Å, c = 4.988 Å
α = 60.00°, β = 60.00°, γ = 60.00°
Atoms (fractional coordinates):
Cl: 0.000 0.000 0.000
Zr: 0.250 0.250 0.250
Zr: 0.750 0.750 0.750
La: 0.500 0.500 0.500

Formation energy without anion corrections in eV per atom: 0.372
E above lowest polymorph in meV per atom: 605
DOS(E_F) in states/eV/cell: 9.3

=====

6.
Computed, not measured: an optimized crystal structure of KAgCl2 at the PBEsol level of DFT.

a = 4.144 Å, b = 4.144 Å, c = 6.938 Å
α = 72.62°, β = 72.62°, γ = 60.00°
Atoms (fractional coordinates):
K: 0.000 0.000 0.000
Ag: 0.500 0.500 0.500
Cl: 0.763 0.763 0.710
Cl: 0.237 0.237 0.290

Formation energy without anion corrections in eV per atom: -1.130
DOS(E_F) in states/eV/cell: 0.0

=====

7.
Computed, not measured: an optimized crystal structure of BaNa2P2 at the PBEsol level of DFT.

a = 4.550 Å, b = 4.550 Å, c = 6.715 Å
α = 109.80°, β = 109.80°, γ = 90.00°
Atoms (fractional coordinates):
P: 0.404 0.404 0.808
P: 0.596 0.596 0.192
Ba: 0.000 0.000 0.000
Na: 0.250 0.750 0.500
Na: 0.750 0.250 0.500

DOS(E_F) in states/eV/cell: 0.3

=====

8.
Computed, not measured: an optimized crystal structure of ZnGaB2 at the PBEsol level of DFT.

a = 3.988 Å, b = 3.988 Å, c = 3.988 Å
α = 60.00°, β = 60.00°, γ = 60.00°
Atoms (fractional coordinates):
Zn: 0.000 0.000 0.000
B: 0.250 0.250 0.250
B: 0.750 0.750 0.750
Ga: 0.500 0.500 0.500

E above lowest polymorph in meV per atom: 118
DOS(E_F) in states/eV/cell: 1.7

=====

9.
Computed, not measured: an optimized crystal structure of BeCr2 at the PBEsol level of DFT.

a = 2.929 Å, b = 4.419 Å, c = 5.264 Å
α = 107.22°, β = 90.00°, γ = 109.35°
Atoms (fractional coordinates):
Be: 0.673 0.346 0.841
Be: 0.327 0.654 0.159
Cr: 0.000 0.000 0.500
Cr: 0.000 0.000 0.000
Cr: 0.660 0.320 0.328
Cr: 0.340 0.680 0.672

DOS(E_F) in states/eV/cell: 3.9

=====

10.
Computed, not measured: an optimized crystal structure of Ta4MoSe10 at the PBEsol level of DFT.

a = 3.388 Å, b = 3.388 Å, c = 31.959 Å
α = 86.96°, β = 86.96°, γ = 60.00°
Atoms (fractional coordinates):
Ta: 0.601 0.601 0.198
Ta: 0.200 0.200 0.399
Ta: 0.800 0.800 0.600
Ta: 0.400 0.400 0.801
Mo: 0.000 0.000 0.001
Se: 0.116 0.116 0.653
Se: 0.715 0.715 0.854
Se: 0.316 0.316 0.051
Se: 0.916 0.916 0.251
Se: 0.516 0.516 0.452
Se: 0.951 0.951 0.146
Se: 0.551 0.551 0.346
Se: 0.151 0.151 0.547
Se: 0.751 0.751 0.748
Se: 0.350 0.350 0.950

Formation energy without anion corrections in eV per atom: -0.800
E above lowest polymorph in meV per atom: 9
DOS(E_F) in states/eV/cell: 11.2

=====

11.
Computed, not measured: an optimized crystal structure of Li4NbO4 at the PBEsol level of DFT.

a = 5.436 Å, b = 5.436 Å, c = 6.418 Å
α = 90.00°, β = 90.00°, γ = 100.48°
Atoms (fractional coordinates):
Li: 0.155 0.845 0.000
Li: 0.155 0.845 0.500
Li: 0.577 0.862 0.750
Li: 0.138 0.423 0.250
Li: 0.862 0.577 0.750
Li: 0.423 0.138 0.250
Li: 0.845 0.155 0.000
Li: 0.845 0.155 0.500
Nb: 0.654 0.654 0.250
Nb: 0.346 0.346 0.750
O: 0.231 0.666 0.750
O: 0.334 0.769 0.250
O: 0.219 0.219 0.485
O: 0.219 0.219 0.015
O: 0.781 0.781 0.985
O: 0.781 0.781 0.515
O: 0.666 0.231 0.750
O: 0.769 0.334 0.250

Formation energy without anion corrections in eV per atom: -2.099
E above lowest polymorph in meV per atom: 6
DOS(E_F) in states/eV/cell: 2.1

=====

12.
Computed, not measured: an optimized crystal structure of Zn7In at the PBEsol level of DFT.

a = 5.608 Å, b = 5.608 Å, c = 5.608 Å
α = 60.00°, β = 60.00°, γ = 60.00°
Atoms (fractional coordinates):
In: 0.000 0.000 0.000
Zn: 0.000 0.000 0.500
Zn: 0.000 0.500 0.000
Zn: 0.500 0.000 0.000
Zn: 0.500 0.500 0.000
Zn: 0.500 0.000 0.500
Zn: 0.000 0.500 0.500
Zn: 0.500 0.500 0.500

DOS(E_F) in states/eV/cell: 3.5

=====

no.,spin magnetization (μB per formula unit),electronic total energy (eV per atom)
1,0.1,-3.9024
2,0.0,-3.0688
3,0.0,-6.9994
4,0.0,-5.2537
5,0.0,-6.0112
6,0.0,-3.2456
7,0.0,-3.8986
8,0.0,-3.5282
9,0.0,-8.0857
10,0.0,-7.4983
11,0.0,-6.5088
12,0.0,-1.6656